VASP calculation (PBE) on an optimized crystal structure of Ca2MnPt.

a b c (Å): 4.937 4.937 4.937
angles (deg): 60.00 60.00 60.00
Positions (direct):
Ca  0.000  0.000  0.000
Ca  0.250  0.250  0.250
Mn  0.500  0.500  0.500
Pt  0.750  0.750  0.750

The total energy is -19.60 eV/cell. For the formation energy, the calculation gives -97 meV per atom. Its volume is 85.1 Å³ per cell. As for the space-group type: F-43m, No. 216.

***

VASP calculation (PBE) on an optimized crystal structure of SbMo2.

a b c (Å): 5.288 5.288 6.695
angles (deg): 78.00 78.00 36.18
Positions (direct):
Sb  0.986  0.986  0.578
Sb  0.262  0.262  0.969
Mo  0.980  0.980  0.002
Mo  0.313  0.313  0.363
Mo  0.699  0.699  0.664
Mo  0.594  0.594  0.257

The total energy is -50.05 eV/cell. Its uncorrected formation energy is 0.2539 eV per atom. Its energy relative to the lowest polymorph listed for this composition is 53.8 meV/atom. Its volume is 107.8 Å³ per cell. As for the space-group type: Cm, No. 8.

***

VASP calculation (PBE) on an optimized crystal structure of Sr8HgN2.

a b c (Å): 7.868 8.566 8.566
angles (deg): 60.35 79.74 79.74
Positions (direct):
Sr  0.765  0.093  0.664
Sr  0.235  0.336  0.907
Sr  0.650  0.163  0.163
Sr  0.350  0.837  0.837
Sr  0.765  0.664  0.093
Sr  0.235  0.907  0.336
Sr  0.243  0.356  0.356
Sr  0.757  0.644  0.644
Hg  0.000  0.000  0.000
N  0.341  0.195  0.195
N  0.659  0.805  0.805

The total energy is -33.84 eV/cell. Its uncorrected formation energy is -0.3118 eV per atom. Its volume is 491.0 Å³ per cell. As for the space-group type: C2/m, No. 12.

***

VASP calculation (PBE) on an optimized crystal structure of ZrIn2Ge.

a b c (Å): 3.174 3.174 11.450
angles (deg): 82.03 82.03 60.00
Positions (direct):
Ge  0.500  0.500  0.500
Zr  0.000  0.000  0.000
In  0.089  0.089  0.732
In  0.911  0.911  0.268

The total energy is -17.35 eV/cell. For the formation energy, the calculation gives 323 meV per atom. Its volume is 98.6 Å³ per cell. As for the space-group type: R-3m, No. 166.

***

VASP calculation (PBE) on an optimized crystal structure of AcCdCuPt3.

a b c (Å): 7.264 5.876 6.790
angles (deg): 115.64 90.00 90.00
Positions (direct):
Ac  0.750  0.322  0.645
Ac  0.250  0.678  0.355
Cd  0.250  0.365  0.730
Cd  0.750  0.635  0.270
Cu  0.250  0.928  0.856
Cu  0.750  0.072  0.144
Pt  0.250  0.144  0.288
Pt  0.000  0.258  0.000
Pt  0.500  0.742  0.000
Pt  0.500  0.258  0.000
Pt  0.000  0.742  0.000
Pt  0.750  0.856  0.712

The total energy is -59.31 eV/cell. For the formation energy, the calculation gives -402 meV per atom. Its volume is 261.3 Å³ per cell. As for the space-group type: Cmcm, No. 63.

***

VASP calculation (PBE) on an optimized crystal structure of CoAgN3.

a b c (Å): 3.711 3.711 3.711
angles (deg): 90.00 90.00 90.00
Positions (direct):
Co  0.000  0.000  0.000
Ag  0.500  0.500  0.500
N  0.000  0.500  0.000
N  0.000  0.000  0.500
N  0.500  0.000  0.000

The total energy is -26.47 eV/cell. Its uncorrected formation energy is 1.6924 eV per atom. Its volume is 51.1 Å³ per cell. As for the space-group type: Pm-3m, No. 221.

***

VASP calculation (PBE) on an optimized crystal structure of In2GaAu8.

a b c (Å): 4.139 5.475 9.959
angles (deg): 87.53 101.99 90.00
Positions (direct):
Au  0.577  0.579  0.154
Au  0.365  0.930  0.731
Au  0.232  0.187  0.463
Au  0.963  0.746  0.926
Au  0.768  0.813  0.537
Au  0.635  0.070  0.269
Au  0.423  0.421  0.846
Au  0.037  0.254  0.074
Ga  0.500  0.000  0.000
In  0.175  0.660  0.349
In  0.825  0.340  0.651

The total energy is -35.71 eV/cell. Its energy relative to the lowest polymorph listed for this composition is 18.0 meV/atom. For the formation energy, the calculation gives -90 meV per atom. Its volume is 220.5 Å³ per cell. As for the space-group type: C2/m, No. 12.

***

What did the first record say?
VASP calculation (PBE) on an optimized crystal structure of Ca2MnPt.

a b c (Å): 4.937 4.937 4.937
angles (deg): 60.00 60.00 60.00
Positions (direct):
Ca  0.000  0.000  0.000
Ca  0.250  0.250  0.250
Mn  0.500  0.500  0.500
Pt  0.750  0.750  0.750

The total energy is -19.60 eV/cell. For the formation energy, the calculation gives -97 meV per atom. Its volume is 85.1 Å³ per cell. As for the space-group type: F-43m, No. 216.